Entry 1:
Crystalline Sr3Ni4Ir2 at its relaxed geometry. Source: Alexandria via LeMat-Bulk, functional PBE-GGA.

Cell lengths 5.7448, 5.7448, 8.3355 Å; angles 103.86, 103.86, 43.64 degrees
Closest atoms and distances in Å follow each position.
Element x y z (fractional)
Sr1 0.0000 0.0000 0.0000  2 Ni 2.88
Sr2 0.3720 0.3720 0.6234  6 Ni 3.08-3.18, 2 Ir 3.11-3.24
Sr3 0.6280 0.6280 0.3766  6 Ni 3.08-3.18, 2 Ir 3.11-3.24
Ni1 0.0856 0.0856 0.6398  2 Ir 2.48, 2 Ni 2.49-2.56
Ni2 0.2457 0.2457 0.9162  3 Ir 2.47-2.49, 3 Ni 2.49-2.54
Ni3 0.7543 0.7543 0.0838  3 Ir 2.47-2.49, 3 Ni 2.49-2.54
Ni4 0.9144 0.9144 0.3602  2 Ir 2.48, 2 Ni 2.49-2.56
Ir1 0.3292 0.3292 0.2242  5 Ni 2.47-2.49
Ir2 0.6708 0.6708 0.7758  5 Ni 2.47-2.49

Properties
The value obtained for the formation energy is -151.7 meV per atom.

Entry 2:
Crystalline Cr3HgSe at its relaxed geometry. Source: Alexandria via LeMat-Bulk, functional PBE-GGA.

Cell lengths 4.3963, 4.3963, 4.3963 Å; angles 90.00, 90.00, 90.00 degrees
Closest atoms and distances in Å follow each position.
Element x y z (fractional)
Cr1 0.0000 0.0000 0.5000  2 Se 2.20
Cr2 0.0000 0.5000 0.0000  2 Se 2.20
Cr3 0.5000 0.0000 0.0000  2 Se 2.20
Hg1 0.5000 0.5000 0.5000  12 Cr 3.11
Se1 0.0000 0.0000 0.0000  6 Cr 2.20

Properties
Its uncorrected formation energy is 0.9861 eV per atom. The calculation puts the energy above the most stable polymorph in this dataset at 0.0 meV/atom.

Entry 3:
Crystalline MgScBRu2 at its relaxed geometry. Source: Alexandria via LeMat-Bulk, functional PBE-GGA.

Cell lengths 4.2061, 4.2061, 4.1920 Å; angles 90.00, 90.00, 90.00 degrees
Closest atoms and distances in Å follow each position.
Element x y z (fractional)
Mg1 0.0000 0.0000 0.0000  2 B 2.10
Sc1 0.5000 0.5000 0.0000  8 Ru 2.97, 4 Mg 2.97
B1 0.0000 0.0000 0.5000  2 Mg 2.10, 4 Ru 2.10
Ru1 0.0000 0.5000 0.5000  2 B 2.10
Ru2 0.5000 0.0000 0.5000  2 B 2.10

Properties
The value obtained for the formation energy is -223.5 meV per atom.

Entry 4:
Crystalline TiSn2AsIr at its relaxed geometry. Source: Alexandria via LeMat-Bulk, functional PBE-GGA.

Cell lengths 5.3460, 5.3460, 4.4879 Å; angles 90.00, 90.00, 90.00 degrees
Closest atoms and distances in Å follow each position.
Element x y z (fractional)
Ti1 0.0000 0.0000 0.0000  8 Sn 3.49, 4 Ir 3.78
Sn1 0.0000 0.5000 0.5000  2 As 2.67
Sn2 0.5000 0.0000 0.5000  2 As 2.67
As1 0.5000 0.5000 0.5000  2 Ir 2.24
Ir1 0.5000 0.5000 0.0000  2 As 2.24

Properties
The value obtained for the formation energy is 883.9 meV per atom.

Entry 5:
Crystalline NaLiSiAu at its relaxed geometry. Source: Alexandria via LeMat-Bulk, functional PBE-GGA.

Cell lengths 4.5386, 4.5386, 4.5386 Å; angles 60.00, 60.00, 60.00 degrees
Closest atoms and distances in Å follow each position.
Element x y z (fractional)
Na1 0.0000 0.0000 0.0000  4 Si 2.78, 4 Li 2.78
Li1 0.2500 0.2500 0.2500  4 Na 2.78, 4 Au 2.78
Si1 0.7500 0.7500 0.7500  4 Na 2.78, 4 Au 2.78
Au1 0.5000 0.5000 0.5000  4 Si 2.78, 4 Li 2.78

Properties
Its uncorrected formation energy is -0.2032 eV per atom.

Entry 6:
Crystalline Ta2AsRu at its relaxed geometry. Source: Alexandria via LeMat-Bulk, functional PBE-GGA.

Cell lengths 5.3809, 5.3809, 4.2740 Å; angles 113.39, 113.39, 35.54 degrees
Closest atoms and distances in Å follow each position.
Element x y z (fractional)
Ta1 0.0000 0.0000 0.0000  4 Ru 2.69-2.70, 2 Ta 2.93, 2 As 2.96
Ta2 0.2394 0.2394 0.7372  4 As 2.70-2.71, 2 Ru 2.83, 2 Ta 2.93
As1 0.7641 0.7641 0.2622  2 Ru 2.69, 6 Ta 2.70-2.96
Ru1 0.4924 0.4924 0.4930  2 As 2.69, 6 Ta 2.69-2.83

Properties
The value obtained for the formation energy is -172.8 meV per atom.